Here is a relaxed NaMnAg2F8 crystal from Alexandria. Energies are from GGA+U.

Lattice parameters (Å, degrees): 6.2147 6.2147 6.2147 112.47 112.47 103.63
Site moments in Bohr magnetons follow the coordinates.
Element x y z (fractional)
Na: 0.0000 0.0000 0.0000  0.00
Mn: 0.2500 0.7500 0.5000  3.92
Ag: 0.7500 0.2500 0.5000  0.67
Ag: 0.5000 0.5000 0.0000  -0.09
F: 0.3561 0.0362 0.3198  0.24
F: 0.2840 0.5102 0.2262  0.00
F: 0.2840 0.0579 0.7738  0.00
F: 0.7164 0.0362 0.6802  0.24
F: 0.9421 0.7160 0.2262  0.00
F: 0.9638 0.2836 0.3198  0.24
F: 0.9638 0.6439 0.6802  0.24
F: 0.4898 0.7160 0.7738  0.00

## Properties
Total DFT energy (no corrections) in eV per cell: -49.5
Symmetry: I-4m2, No. 119
M_tot in μB/f.u.: 5.63
DOS(E_F) in states/eV/cell: 6.808